Record 1
A relaxed structure of Pm3Sm6HoEr2, computed with GGA-PBE.

Lattice parameters (Å, degrees): 6.2483 6.2483 11.9260 95.00 95.00 119.99
Last column: nearest neighbours and their distance in Å.
Positions (direct):
1 Sm 0.2512 0.2512 0.7539  1 Ho 3.56, 2 Er 3.56, 6 Sm 3.61, 3 Pm 3.64
2 Sm 0.7488 0.7488 0.2461  1 Ho 3.56, 2 Er 3.56, 6 Sm 3.61, 3 Pm 3.64
3 Sm 0.5842 0.9177 0.7539  2 Er 3.56, 1 Ho 3.56, 6 Sm 3.61, 3 Pm 3.64
4 Sm 0.4158 0.0823 0.2461  2 Er 3.56, 1 Ho 3.56, 6 Sm 3.61, 3 Pm 3.64
5 Pm 0.1667 0.8333 0.5000  6 Pm 3.61, 6 Sm 3.64
6 Ho 0.0000 0.0000 0.0000  6 Sm 3.56, 6 Er 3.61
7 Er 0.3333 0.6667 0.0000  6 Sm 3.56, 3 Ho 3.61, 3 Er 3.61
8 Sm 0.0823 0.4158 0.2461  2 Er 3.56, 1 Ho 3.56, 6 Sm 3.61, 3 Pm 3.64
9 Sm 0.9177 0.5842 0.7539  2 Er 3.56, 1 Ho 3.56, 6 Sm 3.61, 3 Pm 3.64
10 Pm 0.8333 0.1667 0.5000  6 Pm 3.61, 6 Sm 3.64
11 Pm 0.5000 0.5000 0.5000  6 Pm 3.61, 6 Sm 3.64
12 Er 0.6667 0.3333 0.0000  6 Sm 3.56, 3 Ho 3.61, 3 Er 3.61

Computed properties:
The value obtained for the final energy is -4.673 eV per atom. As for the symmetry: No. 12.


Record 2
A relaxed structure of Zr2AlPb, computed with GGA-PBE.

Lattice parameters (Å, degrees): 7.8168 7.8168 6.3155 51.77 51.77 90.00
Last column: nearest neighbours and their distance in Å.
Positions (direct):
1 Zr 0.3750 0.3848 0.7500  2 Al 2.82, 2 Pb 2.92, 2 Zr 3.06
2 Zr 0.6152 0.1250 0.2500  2 Al 2.82, 2 Pb 2.92, 2 Zr 3.06
3 Zr 0.1348 0.6250 0.2500  2 Al 2.82, 2 Pb 2.92, 2 Zr 3.06
4 Pb 0.7500 0.2500 0.5000  4 Zr 2.92, 2 Al 3.06
5 Al 0.2500 0.7500 0.5000  4 Zr 2.82, 2 Pb 3.06
6 Zr 0.8750 0.8652 0.7500  2 Al 2.82, 2 Pb 2.92, 2 Zr 3.06
7 Al 0.5000 0.5000 0.0000  4 Zr 2.82, 2 Pb 3.06
8 Pb 0.0000 0.0000 0.0000  4 Zr 2.92, 2 Al 3.06

Computed properties:
The value obtained for the final energy is -6.118 eV per atom. As for the symmetry: No. 122.


Record 3
A relaxed structure of Sr3PrPa2P6, computed with GGA-PBE.

Lattice parameters (Å, degrees): 7.2439 7.2439 7.3569 99.46 99.46 119.99
Last column: nearest neighbours and their distance in Å.
Positions (direct):
1 P 0.0728 0.4230 0.2176  2 Pa 2.80, 1 Pr 2.95, 1 Sr 3.04
2 Pr 0.0000 0.0000 0.0000  6 P 2.95
3 Sr 0.8365 0.1635 0.5000  6 P 3.04-3.16
4 Pa 0.6672 0.3328 0.0000  6 P 2.80
5 P 0.9272 0.5770 0.7824  2 Pa 2.80, 1 Pr 2.95, 1 Sr 3.04
6 Sr 0.1635 0.8365 0.5000  6 P 3.04-3.16
7 P 0.5770 0.9272 0.7824  2 Pa 2.80, 1 Pr 2.95, 1 Sr 3.04
8 P 0.2775 0.2775 0.7824  2 Pa 2.80, 1 Pr 2.95, 3 Sr 3.02-3.13
9 P 0.4230 0.0728 0.2176  2 Pa 2.80, 1 Pr 2.95, 1 Sr 3.04
10 P 0.7225 0.7225 0.2176  2 Pa 2.80, 1 Pr 2.95, 3 Sr 3.02-3.13
11 Pa 0.3328 0.6672 0.0000  6 P 2.80
12 Sr 0.5000 0.5000 0.5000  6 P 3.02-3.16

Computed properties:
The value obtained for the final energy is -6.388 eV per atom. As for the symmetry: No. 12.


Record 4
A relaxed structure of LiNbSiTc, computed with GGA-PBE.

Lattice parameters (Å, degrees): 4.3159 4.3159 4.3159 60.00 60.00 60.00
Last column: nearest neighbours and their distance in Å.
Positions (direct):
1 Tc 0.0000 0.0000 0.0000  4 Si 2.64, 4 Nb 2.64
2 Si 0.7500 0.7500 0.7500  4 Li 2.64, 4 Tc 2.64
3 Nb 0.2500 0.2500 0.2500  4 Li 2.64, 4 Tc 2.64
4 Li 0.5000 0.5000 0.5000  4 Nb 2.64, 4 Si 2.64

Computed properties:
Its uncorrected formation energy is -307.9 meV per atom. The value obtained for the final energy is -7.251 eV per atom. As for the symmetry: No. 216.


Record 5
A relaxed structure of PrHo14Zr, computed with GGA-PBE.

Lattice parameters (Å, degrees): 6.8722 6.8722 10.9398 90.00 90.00 106.71
Last column: nearest neighbours and their distance in Å.
Positions (direct):
1 Ho 0.8325 0.5792 0.2576  1 Zr 3.24, 7 Ho 3.36-3.55, 1 Pr 3.59
2 Zr 0.6957 0.3043 0.5000  10 Ho 3.24-3.55
3 Ho 0.3461 0.6539 0.7731  10 Ho 3.43-3.60, 1 Pr 3.78
4 Ho 0.8999 0.1001 0.2714  1 Zr 3.37, 9 Ho 3.46-3.76, 1 Pr 3.61
5 Ho 0.8999 0.1001 0.7286  1 Zr 3.37, 9 Ho 3.46-3.76, 1 Pr 3.61
6 Ho 0.4208 0.1675 0.7425  1 Zr 3.24, 7 Ho 3.36-3.55, 1 Pr 3.59
7 Ho 0.0406 0.3668 0.0000  11 Ho 3.34-3.65
8 Ho 0.6173 0.7922 0.5000  7 Ho 3.36-3.55, 2 Zr 3.40-3.55, 2 Pr 3.46-3.48
9 Ho 0.4208 0.1675 0.2576  1 Zr 3.24, 7 Ho 3.36-3.55, 1 Pr 3.59
10 Ho 0.8325 0.5792 0.7425  1 Zr 3.24, 7 Ho 3.36-3.55, 1 Pr 3.59
11 Ho 0.3461 0.6539 0.2269  10 Ho 3.43-3.60, 1 Pr 3.78
12 Ho 0.2078 0.3827 0.5000  7 Ho 3.36-3.55, 2 Zr 3.40-3.55, 2 Pr 3.46-3.48
13 Ho 0.1094 0.8906 0.0000  12 Ho 3.44-3.76
14 Ho 0.5614 0.4386 0.0000  10 Ho 3.36-3.47
15 Pr 0.1360 0.8640 0.5000  12 Ho 3.46-3.78
16 Ho 0.6332 0.9594 0.0000  11 Ho 3.34-3.65

Computed properties:
The value obtained for the final energy is -4.769 eV per atom. As for the symmetry: No. 38.


Record 6
A relaxed structure of Sc7Pt, computed with GGA-PBE.

Lattice parameters (Å, degrees): 6.2987 6.2987 6.2987 60.00 60.00 60.00
Last column: nearest neighbours and their distance in Å.
Positions (direct):
1 Sc 0.5000 0.0000 0.0000  10 Sc 3.15, 2 Pt 3.15
2 Sc 0.0000 0.0000 0.5000  10 Sc 3.15, 2 Pt 3.15
3 Sc 0.0000 0.5000 0.0000  10 Sc 3.15, 2 Pt 3.15
4 Pt 0.0000 0.0000 0.0000  12 Sc 3.15
5 Sc 0.5000 0.5000 0.0000  10 Sc 3.15, 2 Pt 3.15
6 Sc 0.5000 0.0000 0.5000  10 Sc 3.15, 2 Pt 3.15
7 Sc 0.5000 0.5000 0.5000  12 Sc 3.15
8 Sc 0.0000 0.5000 0.5000  10 Sc 3.15, 2 Pt 3.15

Computed properties:
The value obtained for the final energy is -6.461 eV per atom. As for the symmetry: No. 225.


Record 7
A relaxed structure of Tb3Pm3TlIn2, computed with GGA-PBE.

Lattice parameters (Å, degrees): 3.7727 9.0936 9.0936 120.00 90.00 90.00
Last column: nearest neighbours and their distance in Å.
Positions (direct):
1 Tb 0.0000 0.6162 0.6162  4 In 3.40, 1 Tl 3.49, 6 Pm 3.53-3.67, 2 Tb 3.77
2 Tb 0.0000 0.0000 0.3838  4 In 3.40, 1 Tl 3.49, 6 Pm 3.53-3.67, 2 Tb 3.77
3 Pm 0.5000 0.2886 0.2886  2 Tl 3.23, 2 In 3.25, 2 Tb 3.53
4 In 0.5000 0.3333 0.6667  3 Pm 3.25, 6 Tb 3.40
5 Pm 0.5000 0.0000 0.7114  2 Tl 3.23, 2 In 3.25, 2 Tb 3.53
6 Pm 0.5000 0.7114 0.0000  2 Tl 3.23, 2 In 3.25, 2 Tb 3.53
7 Tl 0.0000 0.0000 0.0000  6 Pm 3.23, 3 Tb 3.49
8 In 0.5000 0.6667 0.3333  3 Pm 3.25, 6 Tb 3.40
9 Tb 0.0000 0.3838 0.0000  4 In 3.40, 1 Tl 3.49, 6 Pm 3.53-3.67, 2 Tb 3.77

Computed properties:
The value obtained for the final energy is -4.289 eV per atom. As for the symmetry: No. 189.


Record 8
A relaxed structure of CaTb4ScSe8, computed with GGA-PBE.

Lattice parameters (Å, degrees): 8.4659 8.4659 8.3504 59.54 59.54 60.00
Last column: nearest neighbours and their distance in Å.
Positions (direct):
1 Se 0.2326 0.2326 0.7519  1 Sc 2.74, 1 Ca 2.80, 2 Tb 2.86
2 Se 0.2326 0.7828 0.7519  1 Sc 2.74, 1 Ca 2.80, 2 Tb 2.86
3 Tb 0.4933 0.0024 0.5020  6 Se 2.85-2.93
4 Tb 0.6224 0.6224 0.1327  4 Se 2.73-2.77
5 Se 0.7650 0.7650 0.2478  3 Tb 2.77-2.93, 1 Sc 2.83
6 Se 0.7828 0.2326 0.7519  1 Sc 2.74, 1 Ca 2.80, 2 Tb 2.86
7 Se 0.7570 0.7570 0.7289  4 Tb 2.73-2.92
8 Se 0.2222 0.7650 0.2478  3 Tb 2.77-2.93, 1 Sc 2.83
9 Se 0.2415 0.2415 0.2756  1 Ca 2.78, 3 Tb 2.85
10 Tb 0.0024 0.0024 0.5020  6 Se 2.85-2.93
11 Se 0.7650 0.2222 0.2478  3 Tb 2.77-2.93, 1 Sc 2.83
12 Tb 0.0024 0.4933 0.5020  6 Se 2.85-2.93
13 Ca 0.3782 0.3782 0.8653  4 Se 2.78-2.80
14 Sc 0.0026 0.0026 0.9922  6 Se 2.74-2.83

Computed properties:
Its uncorrected formation energy is -1768.4 meV per atom. The value obtained for the final energy is -5.678 eV per atom. As for the symmetry: No. 160.


Record 9
A relaxed structure of MnBeSe2Br, computed with GGA-PBE.

Lattice parameters (Å, degrees): 4.4865 4.4865 5.2852 90.00 90.00 90.00
Last column: nearest neighbours and their distance in Å.
Positions (direct):
1 Mn 0.5000 0.5000 0.5000  4 Br 3.17, 8 Se 3.47
2 Be 0.0000 0.0000 0.0000  4 Se 2.24
3 Se 0.0000 0.5000 0.0000  2 Be 2.24
4 Br 0.0000 0.0000 0.5000  2 Be 2.64
5 Se 0.5000 0.0000 0.0000  2 Be 2.24

Computed properties:
The energy relative to the lowest polymorph listed for this composition comes out at 0.000 eV/f.u. Its uncorrected formation energy is 209.3 meV per atom. The value obtained for the final energy is -4.098 eV per atom. As for the symmetry: No. 123.


Record 10
A relaxed structure of TiTlZn, computed with GGA-PBE.

Lattice parameters (Å, degrees): 6.6429 6.6429 7.8143 114.81 114.81 90.73
Last column: nearest neighbours and their distance in Å.
Positions (direct):
1 Tl 0.6250 0.3750 0.7500  2 Zn 2.92, 2 Ti 2.94
2 Zn 0.0666 0.5666 0.1331  4 Ti 2.65-2.71, 2 Tl 2.92
3 Zn 0.8166 0.8166 0.6331  4 Ti 2.65-2.71, 2 Tl 2.92
4 Tl 0.6250 0.8750 0.2500  2 Zn 2.92, 2 Ti 2.94
5 Ti 0.1402 0.1402 0.0000  1 Ti 2.62, 4 Zn 2.65-2.71
6 Ti 0.3902 0.8902 0.5000  1 Ti 2.62, 4 Zn 2.65-2.71
7 Zn 0.1834 0.1834 0.3669  4 Ti 2.65-2.71, 2 Tl 2.92
8 Ti 0.8598 0.8598 0.0000  1 Ti 2.62, 4 Zn 2.65-2.71
9 Tl 0.1250 0.3750 0.7500  2 Zn 2.92, 2 Ti 2.94
10 Ti 0.1098 0.6098 0.5000  1 Ti 2.62, 4 Zn 2.65-2.71
11 Zn 0.4334 0.9334 0.8669  4 Ti 2.65-2.71, 2 Tl 2.92
12 Tl 0.6250 0.3750 0.2500  2 Zn 2.92, 2 Ti 2.94

Computed properties:
The value obtained for the final energy is -3.416 eV per atom. As for the symmetry: No. 70.


Record 11
A relaxed structure of MnAgSe2, computed with GGA-PBE.

Lattice parameters (Å, degrees): 3.7620 7.0787 3.5824 90.00 90.00 90.00
Last column: nearest neighbours and their distance in Å.
Positions (direct):
1 Se 0.0000 0.0000 0.0000  4 Ag 2.60
2 Se 0.5000 0.5000 0.0000  4 Mn 2.60
3 Ag 0.5000 0.0000 0.5000  4 Se 2.60
4 Mn 0.0000 0.5000 0.5000  4 Se 2.60

Computed properties:
Its uncorrected formation energy is 19.7 meV per atom. The value obtained for the final energy is -4.728 eV per atom. As for the symmetry: No. 47.


Record 12
A relaxed structure of V4GePd2, computed with GGA-PBE.

Lattice parameters (Å, degrees): 4.4910 4.4910 7.0409 71.40 71.40 90.00
Last column: nearest neighbours and their distance in Å.
Positions (direct):
1 V 0.5000 0.0000 0.0000  2 Ge 2.25
2 V 0.8097 0.8097 0.3805  1 Ge 2.39, 1 Pd 2.40
3 Pd 0.6190 0.6190 0.7619  1 V 2.40
4 V 0.1903 0.1903 0.6195  1 Ge 2.39, 1 Pd 2.40
5 Pd 0.3810 0.3810 0.2381  1 V 2.40
6 V 0.0000 0.5000 0.0000  2 Ge 2.25
7 Ge 0.0000 0.0000 0.0000  6 V 2.25-2.39

Computed properties:
The value obtained for the final energy is -6.644 eV per atom. As for the symmetry: No. 139.